1.
Ac2Zn4CdIn3: relaxed, PBE-GGA.

Geometry as POSCAR:
```
Ac2Zn4CdIn3
1.0
4.6480 0.0000 0.0000
0.0000 4.6480 0.0000
0.0000 0.0000 11.2981
Ac Zn Cd In
2 4 1 3
direct
0.0000 0.5000 0.2431
0.5000 0.0000 0.7569
0.0000 0.0000 0.0000
0.0000 0.5000 0.6358
0.5000 0.0000 0.3642
0.5000 0.5000 0.0000
0.0000 0.0000 0.5000
0.0000 0.5000 0.8710
0.5000 0.0000 0.1290
0.5000 0.5000 0.5000
```

Results
Density in g/cm³: 7.98
DOS at the Fermi energy in states/eV/cell: 4.01
Raw total energy in eV/cell: -25.9
Formation enthalpy at 0 K in eV/atom: -0.346

2.
CsAsPtSe2: relaxed, PBE-GGA.

Geometry as POSCAR:
```
CsAsPtSe2
1.0
5.5595 0.0000 0.0000
0.0000 5.5595 0.0000
0.0000 0.0000 5.9840
Cs As Pt Se
1 1 1 2
direct
0.0000 0.0000 0.0000
0.0000 0.0000 0.5000
0.5000 0.5000 0.5000
0.0000 0.5000 0.0000
0.5000 0.0000 0.0000
```

Results
Density in g/cm³: 5.04
DOS at the Fermi energy in states/eV/cell: 8.47
Raw total energy in eV/cell: -8.6
Uncorrected formation energy in eV/atom: 1.98

3.
BaTl2AsSe4: relaxed, PBE-GGA.

Geometry as POSCAR:
```
BaTl2AsSe4
1.0
7.9392 0.0000 0.0000
2.4423 7.8368 0.0000
1.3119 1.3818 8.5239
Ba Tl As Se
2 4 2 8
direct
0.0000 0.0000 0.0000
0.0681 0.6491 0.5674
0.0473 0.5063 0.1061
0.4627 0.9706 0.2210
0.5471 0.5170 0.9929
0.5821 0.5143 0.4886
0.0245 0.1311 0.4811
0.5139 0.9860 0.7256
0.2845 0.2382 0.3899
0.2853 0.7350 0.2331
0.3182 0.7997 0.7485
0.3808 0.1682 0.9323
0.7712 0.7904 0.8473
0.7826 0.7943 0.3105
0.8342 0.2676 0.2666
0.9092 0.3102 0.6833
```

Results
Density in g/cm³: 5.87
Raw total energy in eV/cell: -61.3
Uncorrected formation energy in eV/atom: -0.67